A relaxed structure of FeMoCI2, computed with PBE.

POSCAR file:
```
FeMoCI2
1.0
5.270 0.000 0.000
0.000 5.270 0.000
0.000 0.000 3.719
Fe Mo C I
1 1 1 2
direct
0.000 0.000 0.000 Fe
0.500 0.500 0.000 Mo
0.000 0.000 0.500 C
0.000 0.500 0.500 I
0.500 0.000 0.500 I
```

Values from the calculation:
Crystal system = tetragonal
Uncorrected formation energy = 1.56 eV per atom